1.
A geometry-optimized Ce5CdSn4 structure, computed with PBE-GGA.

abc: 4.1614 4.1614 15.9747
angles: 90.00 90.00 90.00
Closest atoms and distances in Å follow each position.
Fractional positions:
Sn 0.0000 0.0000 0.2006  1 Sn 3.16, 1 Cd 3.20, 8 Ce 3.28-3.33
Sn 0.0000 0.0000 0.7994  1 Sn 3.16, 1 Cd 3.20, 8 Ce 3.28-3.33
Sn 0.0000 0.0000 0.6013  2 Sn 3.16-3.24, 8 Ce 3.35-3.36
Sn 0.0000 0.0000 0.3987  2 Sn 3.16-3.24, 8 Ce 3.35-3.36
Ce 0.5000 0.5000 0.1105  1 Ce 2.99, 4 Sn 3.28
Ce 0.5000 0.5000 0.2979  2 Ce 2.99-3.23, 4 Sn 3.33
Ce 0.5000 0.5000 0.7021  2 Ce 2.99-3.23, 4 Sn 3.33
Ce 0.5000 0.5000 0.5000  2 Ce 3.23, 8 Sn 3.36
Ce 0.5000 0.5000 0.8895  1 Ce 2.99, 4 Sn 3.28
Cd 0.0000 0.0000 0.0000  2 Sn 3.20, 8 Ce 3.43

Calculated values
Its density of states at the Fermi level is 26.5 states/eV/f.u. The formation energy is -0.51 eV per atom. Its symmetry is No. 123.



2.
A geometry-optimized Ce3Cd2Sn structure, computed with PBE-GGA.

abc: 4.7962 4.6659 14.0251
angles: 90.00 90.00 90.00
Closest atoms and distances in Å follow each position.
Fractional positions:
Ce 0.5000 0.0000 0.1682  4 Ce 3.27-3.32, 6 Cd 3.33-3.35, 2 Sn 3.36
Ce 0.5000 0.5000 0.6682  4 Ce 3.27-3.32, 6 Cd 3.33-3.35, 2 Sn 3.36
Ce 0.5000 0.5000 0.0000  4 Ce 3.32, 4 Sn 3.35, 4 Cd 3.35
Ce 0.5000 0.0000 0.8318  4 Ce 3.27-3.32, 6 Cd 3.33-3.35, 2 Sn 3.36
Ce 0.5000 0.5000 0.3318  4 Ce 3.27-3.32, 6 Cd 3.33-3.35, 2 Sn 3.36
Ce 0.5000 0.0000 0.5000  4 Ce 3.32, 4 Sn 3.35, 4 Cd 3.35
Cd 0.0000 0.5000 0.8330  2 Cd 3.30, 2 Sn 3.31, 8 Ce 3.33-3.35
Cd 0.0000 0.0000 0.6670  2 Cd 3.30, 2 Sn 3.31, 8 Ce 3.33-3.35
Cd 0.0000 0.5000 0.1670  2 Cd 3.30, 2 Sn 3.31, 8 Ce 3.33-3.35
Cd 0.0000 0.0000 0.3330  2 Cd 3.30, 2 Sn 3.31, 8 Ce 3.33-3.35
Sn 0.0000 0.5000 0.5000  4 Cd 3.31, 8 Ce 3.35-3.36
Sn 0.0000 0.0000 0.0000  4 Cd 3.31, 8 Ce 3.35-3.36

Calculated values
Its density of states at the Fermi level is 15.8 states/eV/f.u. The formation energy is -0.32 eV per atom. Its symmetry is No. 65.



3.
A geometry-optimized Ce9CdSn2 structure, computed with PBE-GGA.

abc: 4.7896 4.7896 14.3152
angles: 90.00 90.00 90.00
Closest atoms and distances in Å follow each position.
Fractional positions:
Sn 0.0000 0.0000 0.3338  12 Ce 3.36-3.39
Sn 0.0000 0.0000 0.6662  12 Ce 3.36-3.39
Ce 0.5000 0.0000 0.5000  4 Sn 3.38, 8 Ce 3.39-3.41
Ce 0.5000 0.0000 0.1689  8 Ce 3.33-3.40, 2 Sn 3.36, 2 Cd 3.40
Ce 0.5000 0.0000 0.8311  8 Ce 3.33-3.40, 2 Sn 3.36, 2 Cd 3.40
Ce 0.0000 0.5000 0.8311  8 Ce 3.33-3.40, 2 Sn 3.36, 2 Cd 3.40
Ce 0.5000 0.5000 0.0000  4 Cd 3.39, 8 Ce 3.40
Ce 0.0000 0.5000 0.1689  8 Ce 3.33-3.40, 2 Sn 3.36, 2 Cd 3.40
Ce 0.5000 0.5000 0.6697  8 Ce 3.33-3.41, 4 Sn 3.39
Ce 0.5000 0.5000 0.3303  8 Ce 3.33-3.41, 4 Sn 3.39
Ce 0.0000 0.5000 0.5000  4 Sn 3.38, 8 Ce 3.39-3.41
Cd 0.0000 0.0000 0.0000  12 Ce 3.39-3.40

Calculated values
Its density of states at the Fermi level is 36.2 states/eV/f.u. The formation energy is -0.28 eV per atom. Its symmetry is No. 123.



4.
A geometry-optimized CeCdSn2 structure, computed with PBE-GGA.

abc: 4.4989 4.7780 4.7780
angles: 90.00 90.00 90.00
Closest atoms and distances in Å follow each position.
Fractional positions:
Cd 0.5000 0.0000 0.0000  8 Sn 3.28, 4 Ce 3.38
Sn 0.0000 0.0000 0.5000  4 Cd 3.28, 4 Ce 3.28, 4 Sn 3.38
Sn 0.0000 0.5000 0.0000  4 Cd 3.28, 4 Ce 3.28, 4 Sn 3.38
Ce 0.5000 0.5000 0.5000  8 Sn 3.28, 4 Cd 3.38

Calculated values
The calculation puts the offset from the most stable computed form at 0.000 eV per atom. Its density of states at the Fermi level is 4.8 states/eV/f.u. The formation energy is -0.49 eV per atom. Its symmetry is No. 123.



5.
A geometry-optimized Ce2Cd3Sn structure, computed with PBE-GGA.

abc: 3.4714 5.0822 8.7769
angles: 90.00 90.00 90.00
Closest atoms and distances in Å follow each position.
Fractional positions:
Cd 0.5000 0.0000 0.1591  1 Cd 2.89, 2 Sn 2.98
Cd 0.5000 0.0000 0.8297  3 Cd 2.88-2.89
Cd 0.5000 0.5000 0.6743  2 Cd 2.88, 1 Sn 2.96
Sn 0.5000 0.5000 0.3367  3 Cd 2.96-2.98
Ce 0.0000 0.5000 0.0045  10 Cd 3.36-3.44, 2 Sn 3.39, 2 Ce 3.47
Ce 0.0000 0.0000 0.4958  4 Sn 3.38, 8 Cd 3.41-3.45, 2 Ce 3.47

Calculated values
The calculation puts the offset from the most stable computed form at 0.017 eV per atom. Its density of states at the Fermi level is 13.3 states/eV/f.u. The formation energy is -0.33 eV per atom. Its symmetry is No. 25.



6.
A geometry-optimized Ce2Cd16Sn structure, computed with PBE-GGA.

abc: 7.6939 7.6939 7.6939
angles: 83.52 83.52 83.52
Closest atoms and distances in Å follow each position.
Fractional positions:
Ce 0.3341 0.3341 0.3341  16 Cd 3.52-3.75
Ce 0.6715 0.6715 0.6715  1 Sn 3.30, 12 Cd 3.53-3.66
Cd 0.0164 0.4784 0.0164  9 Cd 2.93-3.09
Cd 0.3108 0.9985 0.6917  8 Cd 2.93-3.20
Cd 0.0164 0.0164 0.4784  9 Cd 2.93-3.09
Cd 0.6917 0.9985 0.3108  8 Cd 2.93-3.20
Cd 0.6513 0.1511 0.6513  8 Cd 2.86-3.12, 1 Sn 3.17
Cd 0.3108 0.6917 0.9985  8 Cd 2.93-3.20
Cd 0.6917 0.3108 0.9985  8 Cd 2.93-3.20
Cd 0.3619 0.8132 0.3619  8 Cd 2.86-3.13
Cd 0.1511 0.6513 0.6513  8 Cd 2.86-3.12, 1 Sn 3.17
Cd 0.4784 0.0164 0.0164  9 Cd 2.93-3.09
Cd 0.3619 0.3619 0.8132  8 Cd 2.86-3.13
Cd 0.8132 0.3619 0.3619  8 Cd 2.86-3.13
Cd 0.9985 0.6917 0.3108  8 Cd 2.93-3.20
Cd 0.6513 0.6513 0.1511  8 Cd 2.86-3.12, 1 Sn 3.17
Cd 0.0954 0.0954 0.0954  3 Cd 2.95, 1 Sn 2.96
Cd 0.9985 0.3108 0.6917  8 Cd 2.93-3.20
Sn 0.8949 0.8949 0.8949  7 Cd 2.96-3.30, 1 Ce 3.30

Calculated values
Its density of states at the Fermi level is 20.6 states/eV/f.u. The formation energy is -0.12 eV per atom. Its symmetry is No. 160.



7.
A geometry-optimized Ce2Cd2Sn structure, computed with PBE-GGA.

abc: 4.1906 4.1906 8.7429
angles: 103.87 103.87 90.00
Closest atoms and distances in Å follow each position.
Fractional positions:
Cd 0.7500 0.2500 0.5000  4 Cd 2.96
Cd 0.2500 0.7500 0.5000  4 Cd 2.96
Sn 0.0000 0.0000 0.0000  8 Ce 3.27
Ce 0.5834 0.5834 0.1668  1 Ce 2.74
Ce 0.4166 0.4166 0.8332  1 Ce 2.74

Calculated values
Its density of states at the Fermi level is 10.4 states/eV/f.u. The formation energy is -0.18 eV per atom. Its symmetry is No. 139.



8.
A geometry-optimized CeCdSn2 structure, computed with PBE-GGA.

abc: 4.9318 4.9318 5.8655
angles: 65.14 65.14 60.00
Closest atoms and distances in Å follow each position.
Fractional positions:
Cd 0.5000 0.5000 0.5000  6 Sn 3.04
Ce 0.0000 0.0000 0.0000  6 Sn 3.22
Sn 0.2350 0.2350 0.2950  3 Cd 3.04, 3 Ce 3.22
Sn 0.7650 0.7650 0.7050  3 Cd 3.04, 3 Ce 3.22

Calculated values
The calculation puts the offset from the most stable computed form at 0.238 eV per atom. Its density of states at the Fermi level is 6.5 states/eV/f.u. The formation energy is -0.25 eV per atom. Its symmetry is No. 166.